# 1
Density functional theory data (PBE) for Cs2PrAs2S6 after structural relaxation.

The calculation puts the total energy at -4.528 eV/atom. For the theoretical density, the calculation gives 3.5 Mg/m³. Its volume is 32.28 Å³ per atom.

The structure belongs to space group C2/m (No. 12); the cell edges are 12.662, 7.319 and 8.788 Å and the angles 90.00°, 119.30° and 90.00°. The inequivalent atoms are Cs at (0.210, 0.000, 0.193), Pr at (0.000, 0.000, 0.500), As at (0.050, 0.500, 0.189), S at (0.038, 0.252, 0.775) and S at (0.249, 0.500, 0.376).

=====

# 2
Density functional theory data (PBE) for Dy3MnP2Rh9 after structural relaxation.

Its formation energy is -0.5431 eV/atom. The calculation puts the total energy at -7.207 eV/atom. For the theoretical density, the calculation gives 9.4 Mg/m³. Its volume is 18.06 Å³ per atom.

The structure belongs to space group P-3m1 (No. 164); the cell edges are 6.0153, 6.0153 and 8.6445 Å and the angles 90.00°, 90.00° and 120.00°. The inequivalent atoms are Dy at (0.0000, 0.0000, 0.0000), Dy at (0.3333, 0.6667, 0.6418), Mn at (0.0000, 0.0000, 0.5000), P at (0.3333, 0.6667, 0.1646), Rh at (0.0000, 0.5000, 0.0000) and Rh at (0.1537, 0.3074, 0.2920).

=====

# 3
Density functional theory data (PBE) for YScSiRh2 after structural relaxation.

The calculation puts the total energy at -6.453 eV/atom. For the theoretical density, the calculation gives 5.7 Mg/m³. Its volume is 21.57 Å³ per atom.

The structure belongs to space group P4/mmm (No. 123); the cell edges are 4.631, 4.631 and 5.029 Å and the angles 90.00°, 90.00° and 90.00°. The inequivalent atoms are Y at (0.000, 0.000, 0.000), Sc at (0.500, 0.500, 0.500), Si at (0.500, 0.500, 0.000) and Rh at (0.000, 0.500, 0.500).

=====

# 4
Density functional theory data (PBE) for Mg2ZnPdW after structural relaxation.

Its formation energy is 1.0544 eV/atom. The calculation puts the total energy at -3.467 eV/atom. For the theoretical density, the calculation gives 6.7 Mg/m³. Its volume is 20.08 Å³ per atom.

The structure belongs to space group P4/mmm (No. 123); the cell edges are 4.676, 4.676 and 4.591 Å and the angles 90.00°, 90.00° and 90.00°. The inequivalent atoms are Mg at (0.000, 0.500, 0.000), Zn at (0.000, 0.000, 0.000), Pd at (0.000, 0.000, 0.500) and W at (0.500, 0.500, 0.500).